20
Lattice="-3.717 2.239 -4.100 -3.629 -4.684 0.732 -4.161 4.169 6.049" Properties=species:S:1:pos:R:3 comment="UTl2SbO6 (PBE-GGA, relaxed)" volume_a3_per_cell=301 e_form_raw_kj_per_mol_atoms=-177 m_tot_mub_per_atom=0.1001 pbc="T T T"
U -4.803 -1.429 3.573
U -2.765 -0.051 -1.867
Tl -5.621 -1.351 0.011
Tl -4.029 1.955 4.720
Tl -7.701 0.733 3.035
Tl -1.948 -0.129 1.695
Sb -4.847 2.032 1.157
Sb -2.721 -3.513 0.549
O -3.839 1.024 -0.307
O -5.854 3.042 2.622
O -3.729 -2.504 2.013
O -5.876 -0.353 5.134
O -3.069 2.624 1.973
O -4.869 3.708 -0.012
O -4.826 0.357 2.327
O -6.625 1.440 0.342
O -4.660 -0.682 -2.736
O -2.743 -1.837 -0.621
O -4.499 -4.104 -0.267
O -6.417 -2.949 -2.382